# 1
Computed, not measured: crystalline Rb4Na2Au2O at its relaxed geometry at the PBE level of DFT.

Cell: 6.3611 7.5414 7.5414 Å, 63.63 80.27 80.27°
With the nearest neighbours (Å) after each atom.
Fractional coordinates of all 9 atoms:
Rb: 0.6941 0.3511 0.8433  1 O 2.79
Rb: 0.6941 0.8433 0.3511  1 O 2.79
Rb: 0.3059 0.6489 0.1567  1 O 2.79
Rb: 0.3059 0.1567 0.6489  1 O 2.79
Na: 0.2179 0.1402 0.1402  1 O 2.27
Na: 0.7821 0.8598 0.8598  1 O 2.27
Au: 0.1725 0.6717 0.6717  1 Na 3.10
Au: 0.8275 0.3283 0.3283  1 Na 3.10
O: 0.5000 0.0000 0.0000  2 Na 2.27

The calculation puts the uncorrected formation energy at -434 meV/atom.

---

# 2
Computed, not measured: crystalline Rb8NaAu2O at its relaxed geometry at the PBE level of DFT.

Cell: 7.9926 7.9073 10.6385 Å, 89.79 89.97 87.12°
With the nearest neighbours (Å) after each atom.
Fractional coordinates of all 12 atoms:
Rb: 0.2783 0.2358 0.0010  1 O 2.97
Rb: 0.8383 0.2035 0.1817  1 O 2.79
Rb: 0.1617 0.7965 0.8183  1 O 2.79
Rb: 0.6164 0.7170 0.4997  2 Au 3.55, 1 Na 3.89
Rb: 0.7217 0.7642 0.9990  1 O 2.97
Rb: 0.3836 0.2830 0.5003  2 Au 3.55, 1 Na 3.89
Rb: 0.1592 0.7949 0.1828  1 O 2.79
Rb: 0.8408 0.2051 0.8172  1 O 2.79
Au: 0.5001 0.5007 0.2242  6 Rb 3.52-3.69
Au: 0.4999 0.4993 0.7758  6 Rb 3.52-3.69
O: 0.0000 0.0000 0.0000  6 Rb 2.79-2.97
Na: 0.0000 0.0000 0.5000  6 Rb 3.89-3.93

The calculation puts the uncorrected formation energy at -289 meV/atom.